Entry from Alexandria via LeMat-Bulk: crystalline CoIr6Rh at its relaxed geometry (GGA-PBE).

Properties
DOS at the Fermi energy ... 6.52 states/eV per cell
Total moment ... 0.4 μB/f.u.
DFT total energy ... -67.50 eV for the cell shown
Theoretical density ... 19.45 Mg/m³
SG ... P4/mmm, No. 123
ΔH_f (0 K) ... 0.016 eV per atom

a = 3.831 Å, b = 3.831 Å, c = 7.654 Å
α = 90.00°, β = 90.00°, γ = 90.00°
Last column: magnetic moment on the atom in μB.
Positions (direct):
Co: 0.000 0.000 0.500  0.48
Ir: 0.500 0.500 0.000  -0.01
Ir: 0.500 0.500 0.500  0.01
Ir: 0.500 0.000 0.254  0.01
Ir: 0.500 0.000 0.746  0.01
Ir: 0.000 0.500 0.254  0.01
Ir: 0.000 0.500 0.746  0.01
Rh: 0.000 0.000 0.000  -0.09